Crystalline CaSmTmMg at its relaxed geometry, computed with PBE.

```
CaSmTmMg
1.0
0.0000 3.9719 3.9719
3.9719 0.0000 3.9719
3.9719 3.9719 0.0000
Ca Sm Tm Mg
1 1 1 1
direct
0.0000 0.0000 0.0000
0.5000 0.5000 0.5000
0.7500 0.7500 0.7500
0.2500 0.2500 0.2500
```

Calculated values
Final energy = -3.12 eV/atom
ΔH_f (0 K) = 0.32 eV per formula unit
N(E_F) = 2.6 states/eV/cell
SG = F-43m (216)